Entry from Alexandria: a relaxed Na2LaYO crystal (GGA-PBE).

a b c (Å): 5.766 5.766 4.475
angles (deg): 90.00 90.00 90.00
Space group P4/mmm (No. 123)
Asymmetric unit:
Na (0.000, 0.500, 0.000) (multiplicity 2)
La (0.000, 0.000, 0.500) (multiplicity 1)
Y (0.500, 0.500, 0.500) (multiplicity 1)
O (0.000, 0.000, 0.000) (multiplicity 1)

Computed properties:
**DOS(E_F)**: 5.77 states/eV/f.u.
**Spin magnetization**: 1.4 μB per formula unit
**Formation energy from raw total energies**: -0.6311 eV per atom